No. 1
Below is a relaxed Zr3AsIr crystal, with properties calculated at the PBE level.

Output
As for the symmetry: Pm-3m. The calculation puts the volume at 25.74 Å³ per atom. For the relative energy among the computed polymorphs, the calculation gives 0 meV per atom. The total DFT energy (no corrections) is -7.769 eV/atom. The energy of formation from the pure elements is 0.0622 eV per atom.

a = 5.0487 Å, b = 5.0487 Å, c = 5.0487 Å
α = 90.00°, β = 90.00°, γ = 90.00°
Last column: nearest neighbours and their distance in Å.
Fractional coordinates of all 5 atoms:
As  0.5000  0.5000  0.5000  12 Zr 3.57
Ir  0.0000  0.0000  0.0000  6 Zr 2.52
Zr  0.0000  0.0000  0.5000  2 Ir 2.52
Zr  0.0000  0.5000  0.0000  2 Ir 2.52
Zr  0.5000  0.0000  0.0000  2 Ir 2.52

***

No. 2
Below is a relaxed NaB2As2S6 crystal, with properties calculated at the PBE level.

Output
The formation energy without anion corrections is -0.26 eV/atom. As for the symmetry: P-1. The calculation puts the volume at 27.60 Å³ per atom. The total DFT energy (no corrections) is -4.691 eV/atom.

a = 5.8815 Å, b = 8.4219 Å, c = 12.4228 Å
α = 142.82°, β = 90.10°, γ = 69.48°
Last column: nearest neighbours and their distance in Å.
Fractional coordinates of all 11 atoms:
B  0.1449  0.7099  0.3183  4 S 1.88-1.97
Na  0.5000  0.0000  0.5000  8 S 3.03-3.28, 2 As 3.04, 4 B 3.19
S  0.4642  0.5939  0.8896  1 B 1.97
S  0.9432  0.5935  0.8895  1 B 1.97
S  0.0568  0.4065  0.1105  1 B 1.97
As  0.8538  0.2927  0.1812  2 S 2.29, 1 As 2.50
B  0.8551  0.2901  0.6817  4 S 1.88-1.97
S  0.9513  0.0968  0.4402  2 B 1.88-1.94
As  0.1462  0.7073  0.8188  2 S 2.29, 1 As 2.50
S  0.5358  0.4061  0.1104  1 B 1.97
S  0.0487  0.9032  0.5598  2 B 1.88-1.94

***

No. 3
Below is a relaxed Na5CdCl8 crystal, with properties calculated at the PBE level.

Output
The formation energy without anion corrections is -1.42 eV/atom. As for the symmetry: F-43m. The calculation puts the volume at 27.46 Å³ per atom. The total DFT energy (no corrections) is -3.012 eV/atom.

a = 8.1621 Å, b = 8.1621 Å, c = 8.1621 Å
α = 60.00°, β = 60.00°, γ = 60.00°
Last column: nearest neighbours and their distance in Å.
Fractional coordinates of all 14 atoms:
Cd  0.2500  0.2500  0.2500  4 Cl 2.53
Cl  0.8703  0.3766  0.3766  1 Cd 2.53
Cl  0.3766  0.3766  0.3766  1 Cd 2.53
Na  0.6266  0.6266  0.1201  6 Cl 2.77-2.89
Cl  0.8665  0.8665  0.4004  4 Na 2.67-2.77
Na  0.0000  0.0000  0.0000  4 Cl 2.67
Cl  0.3766  0.8703  0.3766  1 Cd 2.53
Na  0.6266  0.6266  0.6266  6 Cl 2.77-2.89
Na  0.6266  0.1201  0.6266  6 Cl 2.77-2.89
Cl  0.8665  0.8665  0.8665  4 Na 2.67-2.77
Cl  0.3766  0.3766  0.8703  1 Cd 2.53
Cl  0.8665  0.4004  0.8665  4 Na 2.67-2.77
Cl  0.4004  0.8665  0.8665  4 Na 2.67-2.77
Na  0.1201  0.6266  0.6266  6 Cl 2.77-2.89

***

No. 4
Below is a relaxed BaThSb2Pd2 crystal, with properties calculated at the PBE level.

Output
The formation energy without anion corrections is -1.01 eV/atom. As for the symmetry: P-3m1. The calculation puts the volume at 27.46 Å³ per atom. The total DFT energy (no corrections) is -5.669 eV/atom.

a = 4.6664 Å, b = 4.6664 Å, c = 8.7382 Å
α = 90.00°, β = 90.00°, γ = 120.00°
Last column: nearest neighbours and their distance in Å.
Fractional coordinates of all 6 atoms:
Pd  0.6667  0.3333  0.7000  3 Sb 2.70
Th  0.0000  0.0000  0.5000  6 Pd 3.21, 6 Sb 3.35
Ba  0.0000  0.0000  0.0000  6 Sb 3.60, 6 Pd 3.76
Sb  0.6667  0.3333  0.2729  3 Pd 2.70
Sb  0.3333  0.6667  0.7271  3 Pd 2.70
Pd  0.3333  0.6667  0.3000  3 Sb 2.70

***

No. 5
Below is a relaxed Mn2VHIr crystal, with properties calculated at the PBE level.

Output
As for the symmetry: P4/mmm. The calculation puts the volume at 10.69 Å³ per atom. For the relative energy among the computed polymorphs, the calculation gives 70 meV per atom. The total DFT energy (no corrections) is -8.075 eV/atom.

a = 3.7608 Å, b = 3.7608 Å, c = 3.7791 Å
α = 90.00°, β = 90.00°, γ = 90.00°
Last column: nearest neighbours and their distance in Å.
Fractional coordinates of all 5 atoms:
V  0.5000  0.5000  0.5000  4 Ir 2.66, 8 Mn 2.67
H  0.0000  0.0000  0.0000  4 Mn 1.88, 2 Ir 1.89
Mn  0.5000  0.0000  0.0000  2 H 1.88
Mn  0.0000  0.5000  0.0000  2 H 1.88
Ir  0.0000  0.0000  0.5000  2 H 1.89

***

No. 6
Below is a relaxed AgMoAu crystal, with properties calculated at the PBE level.

Output
As for the symmetry: P3m1. The calculation puts the volume at 17.06 Å³ per atom. For the relative energy among the computed polymorphs, the calculation gives 15 meV per atom. The total DFT energy (no corrections) is -5.331 eV/atom. The energy of formation from the pure elements is 0.3225 eV per atom.

a = 2.8485 Å, b = 2.8485 Å, c = 7.2840 Å
α = 90.00°, β = 90.00°, γ = 120.00°
Last column: nearest neighbours and their distance in Å.
Fractional coordinates of all 3 atoms:
Au  0.3333  0.6667  0.3401  6 Au 2.85, 3 Mo 2.87, 3 Ag 2.99
Mo  0.6667  0.3333  0.6631  6 Mo 2.85, 3 Au 2.87, 3 Ag 2.93
Ag  0.0000  0.0000  0.9968  6 Ag 2.85, 3 Mo 2.93, 3 Au 2.99

***

No. 7
Below is a relaxed Zn2TcAu crystal, with properties calculated at the PBE level.

Output
As for the symmetry: Cmmm. The calculation puts the volume at 15.31 Å³ per atom. For the relative energy among the computed polymorphs, the calculation gives 22 meV per atom. The total DFT energy (no corrections) is -4.024 eV/atom. The energy of formation from the pure elements is 0.0235 eV per atom.

a = 2.7269 Å, b = 2.7269 Å, c = 8.4617 Å
α = 90.00°, β = 90.00°, γ = 103.30°
Last column: nearest neighbours and their distance in Å.
Fractional coordinates of all 4 atoms:
Tc  0.5000  0.5000  0.7500  8 Zn 2.65-2.96, 4 Tc 2.73
Au  0.5000  0.5000  0.2500  4 Au 2.73, 4 Zn 2.77
Zn  0.0000  0.0000  0.5085  4 Tc 2.65-2.96, 4 Zn 2.73, 2 Au 2.77
Zn  0.0000  0.0000  0.9915  4 Tc 2.65-2.96, 4 Zn 2.73, 2 Au 2.77

***

No. 8
Below is a relaxed NaGa5Ag2 crystal, with properties calculated at the PBE level.

Output
As for the symmetry: Immm. The calculation puts the volume at 19.96 Å³ per atom. The total DFT energy (no corrections) is -2.811 eV/atom. The energy of formation from the pure elements is -0.0413 eV per atom.

a = 3.7711 Å, b = 6.8907 Å, c = 6.8907 Å
α = 71.29°, β = 74.12°, γ = 74.12°
Last column: nearest neighbours and their distance in Å.
Fractional coordinates of all 8 atoms:
Ga  0.6338  0.1667  0.5657  3 Ag 2.66-2.82, 3 Ga 2.82-2.85
Na  0.0000  0.0000  0.0000  4 Ag 3.15, 8 Ga 3.37
Ga  0.3662  0.8333  0.4343  3 Ag 2.66-2.82, 3 Ga 2.82-2.85
Ag  0.7387  0.7613  0.7613  7 Ga 2.66-2.82
Ga  0.6338  0.5657  0.1667  3 Ag 2.66-2.82, 3 Ga 2.82-2.85
Ga  0.3662  0.4343  0.8333  3 Ag 2.66-2.82, 3 Ga 2.82-2.85
Ag  0.2613  0.2387  0.2387  7 Ga 2.66-2.82
Ga  0.0000  0.5000  0.5000  2 Ag 2.76, 8 Ga 2.85